Entry from Alexandria: crystalline TbYSb2 at its relaxed geometry (PBE-GGA).

Results
ΔE_f (raw): -1.16 eV/atom
density: 6.786 g/cm3
V: 30.1 Å³ per atom
space-group type: R-3m (166)

a = 7.614 Å, b = 7.614 Å, c = 7.614 Å
α = 33.57°, β = 33.57°, γ = 33.57°
Atoms (fractional coordinates):
Tb 0.000 0.000 0.000
Y 0.500 0.500 0.500
Sb 0.250 0.250 0.250
Sb 0.750 0.750 0.750

---

Entry from Alexandria: crystalline Tb2Y2Sb3 at its relaxed geometry (PBE-GGA).

Results
ΔE_f (raw): -1.02 eV/atom
density: 7.284 g/cm3
V: 28.0 Å³ per atom
space-group type: I2_13 (199)

a = 7.989 Å, b = 7.989 Å, c = 7.989 Å
α = 109.47°, β = 109.47°, γ = 109.47°
Atoms (fractional coordinates):
Tb 0.000 0.645 0.500
Tb 0.500 0.000 0.645
Tb 0.645 0.500 0.000
Tb 0.855 0.855 0.855
Y 0.000 0.144 0.500
Y 0.144 0.500 0.000
Y 0.356 0.356 0.356
Y 0.500 0.000 0.144
Sb 0.126 0.876 0.250
Sb 0.250 0.126 0.876
Sb 0.374 0.624 0.750
Sb 0.624 0.750 0.374
Sb 0.750 0.374 0.624
Sb 0.876 0.250 0.126

---

Entry from Alexandria: crystalline Tb2YSb at its relaxed geometry (PBE-GGA).

Results
ΔE_f (raw): -0.49 eV/atom
density: 7.929 g/cm3
V: 27.7 Å³ per atom
space-group type: P4/mmm (123)

a = 4.773 Å, b = 4.773 Å, c = 4.858 Å
α = 90.00°, β = 90.00°, γ = 90.00°
Atoms (fractional coordinates):
Tb 0.000 0.500 0.000
Tb 0.500 0.000 0.000
Y 0.000 0.000 0.500
Sb 0.500 0.500 0.500